Entry 1:
# BaCNO2 (GGA-PBE, relaxed)
# SG: P4/mmm, No. 123
# Raw total energy (eV/atom): -5.58
# Crystal system: tetragonal
data_BaCNO2
_chemical_formula_sum 'Ba1 C1 N1 O2'
_symmetry_space_group_name_H-M 'P 1'
_symmetry_Int_Tables_number 1
_cell_length_a 4.7372
_cell_length_b 4.7372
_cell_length_c 2.7044
_cell_angle_alpha 90.00
_cell_angle_beta 90.00
_cell_angle_gamma 90.00
loop_
_symmetry_equiv_pos_as_xyz
'x,y,z'
loop_
_atom_site_label
_atom_site_type_symbol
_atom_site_fract_x
_atom_site_fract_y
_atom_site_fract_z
C1 C 0.0000 0.0000 0.0000
Ba1 Ba 0.5000 0.5000 0.5000
O1 O 0.0000 0.5000 0.0000
O2 O 0.5000 0.0000 0.0000
N1 N 0.0000 0.0000 0.5000

***

Entry 2:
# ZrP2Rh (GGA-PBE, relaxed)
# SG: I-42d, No. 122
# DFT formation energy (meV/atom): -462
# Raw total energy (eV/atom): -7.14
# Crystal system: tetragonal
data_ZrP2Rh
_chemical_formula_sum 'Zr2 P4 Rh2'
_symmetry_space_group_name_H-M 'P 1'
_symmetry_Int_Tables_number 1
_cell_length_a 5.4432
_cell_length_b 5.4432
_cell_length_c 6.9374
_cell_angle_alpha 66.90
_cell_angle_beta 66.90
_cell_angle_gamma 90.00
loop_
_symmetry_equiv_pos_as_xyz
'x,y,z'
loop_
_atom_site_label
_atom_site_type_symbol
_atom_site_fract_x
_atom_site_fract_y
_atom_site_fract_z
P1 P 0.6679 0.1250 0.2500
P2 P 0.0821 0.6250 0.2500
P3 P 0.3750 0.3321 0.7500
P4 P 0.8750 0.9179 0.7500
Rh1 Rh 0.0000 0.0000 0.0000
Rh2 Rh 0.7500 0.2500 0.5000
Zr1 Zr 0.5000 0.5000 0.0000
Zr2 Zr 0.2500 0.7500 0.5000

***

Entry 3:
# Sr2AlHg2 (GGA-PBE, relaxed)
# SG: I4/mmm, No. 139
# DFT formation energy (meV/atom): -176
# Raw total energy (eV/atom): -1.72
# Crystal system: tetragonal
data_Sr2AlHg2
_chemical_formula_sum 'Sr2 Al1 Hg2'
_symmetry_space_group_name_H-M 'P 1'
_symmetry_Int_Tables_number 1
_cell_length_a 6.3949
_cell_length_b 6.3949
_cell_length_c 6.1279
_cell_angle_alpha 58.55
_cell_angle_beta 58.55
_cell_angle_gamma 90.00
loop_
_symmetry_equiv_pos_as_xyz
'x,y,z'
loop_
_atom_site_label
_atom_site_type_symbol
_atom_site_fract_x
_atom_site_fract_y
_atom_site_fract_z
Sr1 Sr 0.7500 0.2500 0.5000
Sr2 Sr 0.2500 0.7500 0.5000
Hg1 Hg 0.3302 0.3302 0.3396
Hg2 Hg 0.6698 0.6698 0.6604
Al1 Al 0.0000 0.0000 0.0000

***

Entry 4:
# Ga2CuMo (GGA-PBE, relaxed)
# SG: Fm-3m, No. 225
# DFT formation energy (meV/atom): 165
# Raw total energy (eV/atom): -5.08
# Crystal system: cubic
data_Ga2CuMo
_chemical_formula_sum 'Ga2 Cu1 Mo1'
_symmetry_space_group_name_H-M 'P 1'
_symmetry_Int_Tables_number 1
_cell_length_a 4.3578
_cell_length_b 4.3578
_cell_length_c 4.3578
_cell_angle_alpha 60.00
_cell_angle_beta 60.00
_cell_angle_gamma 60.00
loop_
_symmetry_equiv_pos_as_xyz
'x,y,z'
loop_
_atom_site_label
_atom_site_type_symbol
_atom_site_fract_x
_atom_site_fract_y
_atom_site_fract_z
Mo1 Mo 0.5000 0.5000 0.5000
Cu1 Cu 0.0000 0.0000 0.0000
Ga1 Ga 0.2500 0.2500 0.2500
Ga2 Ga 0.7500 0.7500 0.7500

***

Entry 5:
# KAs2PBr (GGA-PBE, relaxed)
# SG: P4/mmm, No. 123
# Raw total energy (eV/atom): -2.15
# Crystal system: tetragonal
data_KAs2PBr
_chemical_formula_sum 'K1 As2 P1 Br1'
_symmetry_space_group_name_H-M 'P 1'
_symmetry_Int_Tables_number 1
_cell_length_a 8.0066
_cell_length_b 8.0066
_cell_length_c 6.0931
_cell_angle_alpha 90.00
_cell_angle_beta 90.00
_cell_angle_gamma 90.00
loop_
_symmetry_equiv_pos_as_xyz
'x,y,z'
loop_
_atom_site_label
_atom_site_type_symbol
_atom_site_fract_x
_atom_site_fract_y
_atom_site_fract_z
P1 P 0.5000 0.5000 0.5000
As1 As 0.0000 0.5000 0.0000
As2 As 0.5000 0.0000 0.0000
K1 K 0.0000 0.0000 0.0000
Br1 Br 0.0000 0.0000 0.5000

***

Entry 6:
# SrZrCu (GGA-PBE, relaxed)
# SG: P3m1, No. 156
# DFT formation energy (meV/atom): 425
# Raw total energy (eV/atom): -4.35
# Crystal system: trigonal
data_SrZrCu
_chemical_formula_sum 'Sr1 Zr1 Cu1'
_symmetry_space_group_name_H-M 'P 1'
_symmetry_Int_Tables_number 1
_cell_length_a 3.6260
_cell_length_b 3.6260
_cell_length_c 7.0919
_cell_angle_alpha 90.00
_cell_angle_beta 90.00
_cell_angle_gamma 120.00
loop_
_symmetry_equiv_pos_as_xyz
'x,y,z'
loop_
_atom_site_label
_atom_site_type_symbol
_atom_site_fract_x
_atom_site_fract_y
_atom_site_fract_z
Cu1 Cu 0.0000 0.0000 0.9666
Sr1 Sr 0.6667 0.3333 0.2991
Zr1 Zr 0.3333 0.6667 0.7343

***

no.,M_tot (μB/f.u.)
1,1.084
2,0.000
3,0.000
4,0.000
5,8.907
6,0.708